No. 1
Entry from Alexandria via LeMat-Bulk: a geometry-optimized MnNiAg2 structure (PBE).

Cell lengths 3.8644, 3.8890, 8.1474 Å; angles 90.00, 90.00, 90.00 degrees
Space group Immm (No. 71)
Symmetry-distinct sites (fractional):
Mn (0.0000, 0.0000, 0.0000)
Ni (0.0000, 0.0000, 0.5000)
Ag (0.0000, 0.5000, 0.2497)

## Properties
Its excess energy over the best structure of this formula in the dataset is 91 meV per atom. As for the spin magnetization: 8.85 μB per cell.

=====

No. 2
Entry from Alexandria via LeMat-Bulk: a geometry-optimized MnNiAg2 structure (PBE).

Cell lengths 7.1880, 7.1880, 5.2937 Å; angles 90.00, 90.00, 90.00 degrees
Space group I-42d (No. 122)
Symmetry-distinct sites (fractional):
Mn (0.0000, 0.0000, 0.0000)
Ni (0.0000, 0.0000, 0.5000)
Ag (0.2315, 0.7500, 0.6250)

## Properties
Its excess energy over the best structure of this formula in the dataset is 416 meV per atom. As for the spin magnetization: 19.61 μB per cell.